Record 1
Density functional theory data (GGA-PBE) for an optimized crystal structure of K2CdPdCl6.

magnetic moment = 1.06 μB per formula unit
space-group type = No. 166
formation energy without anion corrections = -11.798 eV per formula unit

a = 13.1421 Å, b = 13.1421 Å, c = 13.1421 Å
α = 31.61°, β = 31.61°, γ = 31.61°
Positions (direct):
K1 0.1296 0.1296 0.1296
K2 0.2999 0.2999 0.2999
K3 0.7001 0.7001 0.7001
K4 0.8704 0.8704 0.8704
Cd1 0.4146 0.4146 0.4146
Cd2 0.5854 0.5854 0.5854
Pd1 0.0000 0.0000 0.0000
Pd2 0.5000 0.5000 0.5000
Cl1 0.1280 0.6246 0.6246
Cl2 0.2030 0.2030 0.7088
Cl3 0.2030 0.7088 0.2030
Cl4 0.2912 0.7970 0.7970
Cl5 0.3754 0.3754 0.8720
Cl6 0.3754 0.8720 0.3754
Cl7 0.6246 0.1280 0.6246
Cl8 0.6246 0.6246 0.1280
Cl9 0.7088 0.2030 0.2030
Cl10 0.7970 0.2912 0.7970
Cl11 0.7970 0.7970 0.2912
Cl12 0.8720 0.3754 0.3754

Record 2
Density functional theory data (GGA-PBE) for an optimized crystal structure of TaTl3Rh2S6.

magnetic moment = 0.00 μB per formula unit
space-group type = No. 12
formation energy without anion corrections = -5.953 eV per formula unit

a = 6.0313 Å, b = 6.0313 Å, c = 8.6080 Å
α = 96.63°, β = 96.63°, γ = 120.11°
Positions (direct):
Ta1 0.0000 0.0000 0.0000
Tl1 0.1686 0.8314 0.5000
Tl2 0.5000 0.5000 0.5000
Tl3 0.8314 0.1686 0.5000
Rh1 0.3337 0.6663 0.0000
Rh2 0.6663 0.3337 0.0000
S1 0.0533 0.3968 0.1636
S2 0.2885 0.2885 0.8359
S3 0.3968 0.0533 0.1636
S4 0.6032 0.9467 0.8364
S5 0.7115 0.7115 0.1641
S6 0.9467 0.6032 0.8364

Record 3
Density functional theory data (GGA-PBE) for an optimized crystal structure of BaHfZr2Ir.

magnetic moment = 0.00 μB per formula unit
space-group type = No. 123
formation energy = 0.709 eV per atom

a = 5.3318 Å, b = 5.3318 Å, c = 5.0045 Å
α = 90.00°, β = 90.00°, γ = 90.00°
Positions (direct):
Ba1 0.0000 0.0000 0.0000
Hf1 0.5000 0.5000 0.5000
Zr1 0.0000 0.5000 0.5000
Zr2 0.5000 0.0000 0.5000
Ir1 0.5000 0.5000 0.0000

Record 4
Density functional theory data (GGA-PBE) for an optimized crystal structure of Ac5Pr4Ag.

magnetic moment = 0.00 μB per formula unit
space-group type = No. 123
formation energy = -0.031 eV per atom

a = 3.9005 Å, b = 3.9005 Å, c = 25.4891 Å
α = 90.00°, β = 90.00°, γ = 90.00°
Positions (direct):
Ac1 0.0000 0.0000 0.0000
Ac2 0.0000 0.0000 0.2096
Ac3 0.0000 0.0000 0.4203
Ac4 0.0000 0.0000 0.5797
Ac5 0.0000 0.0000 0.7904
Pr1 0.5000 0.5000 0.1046
Pr2 0.5000 0.5000 0.3127
Pr3 0.5000 0.5000 0.6873
Pr4 0.5000 0.5000 0.8954
Ag1 0.5000 0.5000 0.5000

Record 5
Density functional theory data (GGA-PBE) for an optimized crystal structure of CaLaCo2.

magnetic moment = 0.75 μB per formula unit
space-group type = No. 122
formation energy = 0.469 eV per atom

a = 6.0112 Å, b = 6.0112 Å, c = 6.0112 Å
α = 105.37°, β = 105.37°, γ = 118.02°
Positions (direct):
Ca1 0.0000 0.0000 0.0000
Ca2 0.7500 0.2500 0.5000
La1 0.2500 0.7500 0.5000
La2 0.5000 0.5000 0.0000
Co1 0.1507 0.6250 0.0257
Co2 0.3750 0.4007 0.5257
Co3 0.5993 0.1250 0.9743
Co4 0.8750 0.8493 0.4743

Record 6
Density functional theory data (GGA-PBE) for an optimized crystal structure of Re4TcRh.

magnetic moment = 0.00 μB per formula unit
space-group type = No. 216
formation energy = 0.331 eV per atom

a = 5.1129 Å, b = 5.1129 Å, c = 5.1129 Å
α = 60.00°, β = 60.00°, γ = 60.00°
Positions (direct):
Re1 0.1244 0.1244 0.1244
Re2 0.1244 0.1244 0.6269
Re3 0.1244 0.6269 0.1244
Re4 0.6269 0.1244 0.1244
Tc1 0.5000 0.5000 0.5000
Rh1 0.7500 0.7500 0.7500

Record 7
Density functional theory data (GGA-PBE) for an optimized crystal structure of InPd14Au.

magnetic moment = 0.01 μB per formula unit
space-group type = No. 38
formation energy = -0.095 eV per atom

a = 9.2489 Å, b = 5.6143 Å, c = 5.6143 Å
α = 60.39°, β = 90.00°, γ = 90.00°
Positions (direct):
In1 0.0000 0.0000 0.0000
Pd1 0.0000 0.0005 0.4994
Pd2 0.0000 0.4994 0.0005
Pd3 0.2523 0.3317 0.3317
Pd4 0.2515 0.8322 0.8322
Pd5 0.2526 0.3322 0.8334
Pd6 0.2526 0.8334 0.3322
Pd7 0.5000 0.1645 0.6643
Pd8 0.5000 0.1648 0.1648
Pd9 0.5000 0.6643 0.1645
Pd10 0.5000 0.6645 0.6645
Pd11 0.7474 0.3322 0.8334
Pd12 0.7474 0.8334 0.3322
Pd13 0.7477 0.3317 0.3317
Pd14 0.7485 0.8322 0.8322
Au1 0.0000 0.4998 0.4998

Record 8
Density functional theory data (GGA-PBE) for an optimized crystal structure of VNi4Ge2.

magnetic moment = 0.00 μB per formula unit
space-group type = No. 1
formation energy = -0.153 eV per atom

a = 4.6149 Å, b = 6.3707 Å, c = 6.5782 Å
α = 86.87°, β = 72.11°, γ = 75.50°
Positions (direct):
V1 0.0000 0.0000 0.0000
V2 0.3972 0.3253 0.5622
Ni1 0.1769 0.3390 0.9666
Ni2 0.1990 0.9893 0.5850
Ni3 0.4055 0.9566 0.1796
Ni4 0.4293 0.6668 0.8166
Ni5 0.5761 0.0137 0.7910
Ni6 0.5798 0.3078 0.1801
Ni7 0.7965 0.9665 0.3831
Ni8 0.9944 0.3043 0.3664
Ge1 0.1779 0.6354 0.1947
Ge2 0.5814 0.6592 0.4066
Ge3 0.7970 0.3159 0.7723
Ge4 0.9616 0.6876 0.7486

Record 9
Density functional theory data (GGA-PBE) for an optimized crystal structure of ErCdGe.

magnetic moment = 0.00 μB per formula unit
space-group type = No. 216
formation energy = -0.344 eV per atom

a = 4.6803 Å, b = 4.6803 Å, c = 4.6803 Å
α = 60.00°, β = 60.00°, γ = 60.00°
Positions (direct):
Er1 0.0000 0.0000 0.0000
Cd1 0.5000 0.5000 0.5000
Ge1 0.7500 0.7500 0.7500

Record 10
Density functional theory data (GGA-PBE) for an optimized crystal structure of Ti3AsO.

magnetic moment = 1.58 μB per formula unit
space-group type = No. 221
formation energy without anion corrections = -6.113 eV per formula unit

a = 4.1024 Å, b = 4.1024 Å, c = 4.1024 Å
α = 90.00°, β = 90.00°, γ = 90.00°
Positions (direct):
Ti1 0.0000 0.0000 0.5000
Ti2 0.0000 0.5000 0.0000
Ti3 0.5000 0.0000 0.0000
As1 0.5000 0.5000 0.5000
O1 0.0000 0.0000 0.0000

Record 11
Density functional theory data (GGA-PBE) for an optimized crystal structure of Zn4CrBr.

magnetic moment = 4.26 μB per formula unit
space-group type = No. 216
formation energy without anion corrections = 2.156 eV per formula unit

a = 5.3833 Å, b = 5.3833 Å, c = 5.3833 Å
α = 60.00°, β = 60.00°, γ = 60.00°
Positions (direct):
Zn1 0.1236 0.1236 0.1236
Zn2 0.1236 0.1236 0.6291
Zn3 0.1236 0.6291 0.1236
Zn4 0.6291 0.1236 0.1236
Cr1 0.7500 0.7500 0.7500
Br1 0.5000 0.5000 0.5000

Record 12
Density functional theory data (GGA-PBE) for an optimized crystal structure of Tb6Ho4Zr.

magnetic moment = 1.07 μB per formula unit
space-group type = No. 128
formation energy = 0.154 eV per atom

a = 8.7068 Å, b = 8.7068 Å, c = 8.9292 Å
α = 90.00°, β = 90.00°, γ = 90.00°
Positions (direct):
Tb1 0.0000 0.0000 0.1751
Tb2 0.0000 0.0000 0.8249
Tb3 0.1503 0.3452 0.5000
Tb4 0.1548 0.3497 0.0000
Tb5 0.3452 0.8497 0.5000
Tb6 0.3497 0.8452 0.0000
Tb7 0.5000 0.5000 0.3249
Tb8 0.5000 0.5000 0.6751
Tb9 0.6503 0.1548 0.0000
Tb10 0.6548 0.1503 0.5000
Tb11 0.8452 0.6503 0.0000
Tb12 0.8497 0.6548 0.5000
Ho1 0.1459 0.6459 0.2500
Ho2 0.1459 0.6459 0.7500
Ho3 0.3541 0.1459 0.2500
Ho4 0.3541 0.1459 0.7500
Ho5 0.6459 0.8541 0.2500
Ho6 0.6459 0.8541 0.7500
Ho7 0.8541 0.3541 0.2500
Ho8 0.8541 0.3541 0.7500
Zr1 0.0000 0.0000 0.5000
Zr2 0.5000 0.5000 0.0000

Values of calculated volume, in order: 27.69, 21.96, 28.45, 38.78, 20.55, 15.75, 15.84, 12.72, 24.16, 13.81, 18.39, 30.77, all in Å³ per atom.